# Y4Tm5 GGA-PBE optimized geometry
data_Y4Tm5
_symmetry_space_group_name_H-M 'P 63/m c m'
_symmetry_Int_Tables_number 193
_symmetry_space_group_name_Hall '-P 6c 2'
_cell_length_a 9.6326
_cell_length_b 9.6326
_cell_length_c 6.9580
_cell_angle_alpha 90.00
_cell_angle_beta 90.00
_cell_angle_gamma 120.00
loop_
_atom_site_label
_atom_site_type_symbol
_atom_site_fract_x
_atom_site_fract_y
_atom_site_fract_z
Y1 Y 0.0000 0.0000 0.0000
Y2 Y 0.0000 0.3599 0.2500
Tm1 Tm 0.0000 0.3079 0.7500
Tm2 Tm 0.3333 0.6667 0.0000
# Energy relative to the lowest polymorph listed for this composition: 14 meV/atom
# Electronic total energy: -95.4 eV/cell
# Calculated formation energy: 0.53 eV per formula unit

# BeGePd2 GGA-PBE optimized geometry
data_BeGePd2
_symmetry_space_group_name_H-M 'P 4/m m m'
_symmetry_Int_Tables_number 123
_symmetry_space_group_name_Hall '-P 4 2'
_cell_length_a 2.869
_cell_length_b 2.869
_cell_length_c 6.663
_cell_angle_alpha 90.00
_cell_angle_beta 90.00
_cell_angle_gamma 90.00
loop_
_atom_site_label
_atom_site_type_symbol
_atom_site_fract_x
_atom_site_fract_y
_atom_site_fract_z
Be1 Be 0.000 0.000 0.000
Ge1 Ge 0.000 0.000 0.500
Pd1 Pd 0.500 0.500 0.210
# Electronic total energy: -20.3 eV/cell
# Calculated formation energy: -1.53 eV per formula unit

# Ga2PtO GGA-PBE optimized geometry
data_Ga2PtO
_symmetry_space_group_name_H-M 'F m -3 m'
_symmetry_Int_Tables_number 225
_symmetry_space_group_name_Hall '-F 4 2 3'
_cell_length_a 6.088
_cell_length_b 6.088
_cell_length_c 6.088
_cell_angle_alpha 90.00
_cell_angle_beta 90.00
_cell_angle_gamma 90.00
loop_
_atom_site_label
_atom_site_type_symbol
_atom_site_fract_x
_atom_site_fract_y
_atom_site_fract_z
Ga1 Ga 0.250 0.250 0.250
Pt1 Pt 0.000 0.000 0.000
O1 O 0.000 0.000 0.500
# Energy relative to the lowest polymorph listed for this composition: 690 meV/atom
# Electronic total energy: -71.0 eV/cell
# Formation energy from raw total energies: -0.174 eV per atom